Below is a relaxed Ag4RhF6 crystal, with properties calculated at the PBE-GGA level.

Geometry as POSCAR:
```
Ag4RhF6
1.0
6.920 0.000 0.000
0.000 6.920 0.000
0.000 0.000 7.350
Ag Rh F
8 2 12
Direct
0.644 0.856 0.250 Ag
0.144 0.644 0.750 Ag
0.356 0.144 0.250 Ag
0.856 0.356 0.250 Ag
0.856 0.356 0.750 Ag
0.144 0.644 0.250 Ag
0.356 0.144 0.750 Ag
0.644 0.856 0.750 Ag
0.000 0.000 0.500 Rh
0.500 0.500 0.000 Rh
0.388 0.775 0.000 F
0.775 0.612 0.000 F
0.888 0.725 0.500 F
0.112 0.275 0.500 F
0.500 0.500 0.726 F
0.225 0.388 0.000 F
0.612 0.225 0.000 F
0.000 0.000 0.226 F
0.275 0.888 0.500 F
0.500 0.500 0.274 F
0.725 0.112 0.500 F
0.000 0.000 0.774 F
```

Properties
**N(E_F)**: 0.19 states/eV per atom
**Space group**: P4/mnc (128)
**Raw total energy**: -3.69 eV/atom
**Formation energy (no corrections)**: -964.2 meV per atom